! CsZrS3 (meta-GGA SCAN, PBEsol geometry); values from VASP
! VASP energy = -91.58 eV for the cell shown
! total moment = 0.30 μB/atom
! E_form (uncorrected) = 1.162 eV per atom
&SYSTEM
  ibrav = 0, nat = 5, ntyp = 3
/
ATOMIC_SPECIES
Cs 132.91 Cs.upf
S 32.06 S.upf
Zr 91.22 Zr.upf
CELL_PARAMETERS angstrom
5.2166 0.0000 0.0000
0.0000 5.2166 0.0000
0.0000 0.0000 5.2166
ATOMIC_POSITIONS crystal
Cs 0.0000 0.0000 0.0000
S 0.0000 0.5000 0.0000
S 0.0000 0.0000 0.5000
S 0.5000 0.0000 0.0000
Zr 0.5000 0.5000 0.5000

---

! Cs3Sb (meta-GGA SCAN, PBEsol geometry); values from VASP
! VASP energy = -152.57 eV for the cell shown
! total moment = 0.00 μB/atom
! E_form (uncorrected) = -0.470 eV per atom
&SYSTEM
  ibrav = 0, nat = 4, ntyp = 2
/
ATOMIC_SPECIES
Cs 132.91 Cs.upf
Sb 121.76 Sb.upf
CELL_PARAMETERS angstrom
6.3843 0.0000 0.0000
3.1922 5.5290 0.0000
3.1922 1.8430 5.2128
ATOMIC_POSITIONS crystal
Cs 0.7500 0.7500 0.7500
Cs 0.2500 0.2500 0.2500
Cs 0.5000 0.5000 0.5000
Sb 0.0000 0.0000 0.0000

---

! CsSc3Sb (meta-GGA SCAN, PBEsol geometry); values from VASP
! VASP energy = -115.98 eV for the cell shown
! total moment = 1.09 μB/atom
! E_form (uncorrected) = 0.360 eV per atom
&SYSTEM
  ibrav = 0, nat = 5, ntyp = 3
/
ATOMIC_SPECIES
Cs 132.91 Cs.upf
Sb 121.76 Sb.upf
Sc 44.96 Sc.upf
CELL_PARAMETERS angstrom
-3.4450 -4.1502 1.3969
3.7965 -1.9449 3.5843
-2.1823 3.1680 4.0305
ATOMIC_POSITIONS crystal
Cs 0.5000 0.5000 0.5000
Sb 0.0000 0.0000 0.0000
Sc 0.0000 0.5000 0.0000
Sc 0.0000 0.0000 0.5000
Sc 0.5000 0.0000 0.0000

---

! Cs3ScSb (meta-GGA SCAN, PBEsol geometry); values from VASP
! VASP energy = -162.73 eV for the cell shown
! total moment = 0.20 μB/atom
! E_form (uncorrected) = 0.440 eV per atom
&SYSTEM
  ibrav = 0, nat = 5, ntyp = 3
/
ATOMIC_SPECIES
Cs 132.91 Cs.upf
Sb 121.76 Sb.upf
Sc 44.96 Sc.upf
CELL_PARAMETERS angstrom
7.2549 0.0000 0.0000
0.0000 7.2549 0.0000
0.0000 0.0000 7.2549
ATOMIC_POSITIONS crystal
Cs 0.0000 0.5000 0.0000
Cs 0.0000 0.0000 0.5000
Cs 0.5000 0.0000 0.0000
Sb 0.0000 0.0000 0.0000
Sc 0.5000 0.5000 0.5000

---

! Cs3Sb5Se9 (meta-GGA SCAN, PBEsol geometry); values from VASP
! VASP energy = -983.03 eV for the cell shown
! total moment = 0.00 μB/atom
! E_form (uncorrected) = -0.651 eV per atom
&SYSTEM
  ibrav = 0, nat = 34, ntyp = 3
/
ATOMIC_SPECIES
Cs 132.91 Cs.upf
Sb 121.76 Sb.upf
Se 78.96 Se.upf
CELL_PARAMETERS angstrom
9.5317 -0.0317 0.0000
2.6608 9.0748 0.0000
-1.3304 -4.5374 12.8743
ATOMIC_POSITIONS crystal
Cs 0.5000 0.5806 0.1613
Cs 0.5000 0.4194 0.8387
Cs 0.2383 0.4482 0.4351
Cs 0.2383 0.0131 0.5649
Cs 0.7617 0.5518 0.5649
Cs 0.7617 0.9869 0.4351
Sb 0.8401 0.2780 0.2387
Sb 0.8401 0.0393 0.7613
Sb 0.1599 0.7220 0.7613
Sb 0.1599 0.9607 0.2387
Sb 0.0000 0.5753 0.1506
Sb 0.0000 0.4247 0.8494
Sb 0.5000 0.0758 0.1516
Sb 0.5000 0.9242 0.8484
Sb 0.1185 0.1157 0.0000
Sb 0.8815 0.8843 0.0000
Se 0.5930 0.3174 0.3181
Se 0.5930 0.9993 0.6819
Se 0.4070 0.6826 0.6819
Se 0.4070 0.0007 0.3181
Se 0.8426 0.5666 0.3149
Se 0.8426 0.2516 0.6851
Se 0.1574 0.4334 0.6851
Se 0.1574 0.7484 0.3149
Se 0.6301 0.1352 0.0000
Se 0.3699 0.8648 0.0000
Se 0.8677 0.3635 0.0000
Se 0.1323 0.6365 0.0000
Se 0.0000 0.1935 0.3871
Se 0.0000 0.8065 0.6129
Se 0.2285 0.3063 0.1562
Se 0.2285 0.1501 0.8438
Se 0.7715 0.6937 0.8438
Se 0.7715 0.8499 0.1562

---

! Cs3SbSe4 (meta-GGA SCAN, PBEsol geometry); values from VASP
! VASP energy = -957.43 eV for the cell shown
! total moment = 0.00 μB/atom
! E_form (uncorrected) = -1.044 eV per atom
&SYSTEM
  ibrav = 0, nat = 32, ntyp = 3
/
ATOMIC_SPECIES
Cs 132.91 Cs.upf
Sb 121.76 Sb.upf
Se 78.96 Se.upf
CELL_PARAMETERS angstrom
-8.0235 -2.3599 5.4715
4.3227 -9.3678 2.2983
5.1309 4.7123 9.5565
ATOMIC_POSITIONS crystal
Cs 0.0565 0.6916 0.4576
Cs 0.4435 0.1916 0.5424
Cs 0.9435 0.3084 0.9576
Cs 0.5565 0.8084 0.0424
Cs 0.9435 0.3084 0.5424
Cs 0.5565 0.8084 0.4576
Cs 0.0565 0.6916 0.0424
Cs 0.4435 0.1916 0.9576
Cs 0.8455 0.0857 0.2500
Cs 0.6545 0.5857 0.7500
Cs 0.1545 0.9143 0.7500
Cs 0.3455 0.4143 0.2500
Sb 0.7612 0.5270 0.2500
Sb 0.7388 0.0270 0.7500
Sb 0.2388 0.4730 0.7500
Sb 0.2612 0.9730 0.2500
Se 0.8089 0.7586 0.2500
Se 0.6911 0.2586 0.7500
Se 0.1911 0.2414 0.7500
Se 0.3089 0.7414 0.2500
Se 0.9830 0.4149 0.2500
Se 0.5170 0.9149 0.7500
Se 0.0170 0.5851 0.7500
Se 0.4830 0.0851 0.2500
Se 0.6343 0.4736 0.4272
Se 0.8657 0.9736 0.5728
Se 0.3657 0.5264 0.9272
Se 0.1343 0.0264 0.0728
Se 0.3657 0.5264 0.5728
Se 0.1343 0.0264 0.4272
Se 0.6343 0.4736 0.0728
Se 0.8657 0.9736 0.9272

---

! Cs3SbSe3 (meta-GGA SCAN, PBEsol geometry); values from VASP
! VASP energy = -875.15 eV for the cell shown
! total moment = 0.00 μB/atom
! E_form (uncorrected) = -1.123 eV per atom
&SYSTEM
  ibrav = 0, nat = 28, ntyp = 3
/
ATOMIC_SPECIES
Cs 132.91 Cs.upf
Sb 121.76 Sb.upf
Se 78.96 Se.upf
CELL_PARAMETERS angstrom
10.5366 0.0000 0.0000
0.0000 10.5366 0.0000
0.0000 0.0000 10.5366
ATOMIC_POSITIONS crystal
Cs 0.1827 0.6827 0.8173
Cs 0.6827 0.8173 0.1827
Cs 0.8173 0.1827 0.6827
Cs 0.3173 0.3173 0.3173
Cs 0.9254 0.4254 0.0746
Cs 0.4254 0.0746 0.9254
Cs 0.0746 0.9254 0.4254
Cs 0.5746 0.5746 0.5746
Cs 0.6882 0.1882 0.3118
Cs 0.1882 0.3118 0.6882
Cs 0.3118 0.6882 0.1882
Cs 0.8118 0.8118 0.8118
Sb 0.4732 0.9732 0.5268
Sb 0.9732 0.5268 0.4732
Sb 0.5268 0.4732 0.9732
Sb 0.0268 0.0268 0.0268
Se 0.0057 0.7942 0.0995
Se 0.9005 0.5057 0.7058
Se 0.2942 0.4005 0.9943
Se 0.5057 0.7058 0.9005
Se 0.4005 0.9943 0.2942
Se 0.7942 0.0995 0.0057
Se 0.9943 0.2942 0.4005
Se 0.0995 0.0057 0.7942
Se 0.7058 0.9005 0.5057
Se 0.4943 0.2058 0.5995
Se 0.5995 0.4943 0.2058
Se 0.2058 0.5995 0.4943

---

! CsSb3Se (meta-GGA SCAN, PBEsol geometry); values from VASP
! VASP energy = -168.06 eV for the cell shown
! total moment = 0.00 μB/atom
! E_form (uncorrected) = 0.323 eV per atom
&SYSTEM
  ibrav = 0, nat = 5, ntyp = 3
/
ATOMIC_SPECIES
Cs 132.91 Cs.upf
Sb 121.76 Sb.upf
Se 78.96 Se.upf
CELL_PARAMETERS angstrom
5.5389 0.0000 0.0000
0.0000 5.5389 0.0000
0.0000 0.0000 5.5389
ATOMIC_POSITIONS crystal
Cs 0.5000 0.5000 0.5000
Sb 0.0000 0.5000 0.0000
Sb 0.0000 0.0000 0.5000
Sb 0.5000 0.0000 0.0000
Se 0.0000 0.0000 0.0000

---

! Cs2Si2Sb (meta-GGA SCAN, PBEsol geometry); values from VASP
! VASP energy = -264.88 eV for the cell shown
! total moment = 0.00 μB/atom
! E_form (uncorrected) = 0.094 eV per atom
&SYSTEM
  ibrav = 0, nat = 10, ntyp = 3
/
ATOMIC_SPECIES
Cs 132.91 Cs.upf
Sb 121.76 Sb.upf
Si 28.09 Si.upf
CELL_PARAMETERS angstrom
5.9437 0.0000 0.0000
0.0000 7.2846 0.0000
0.0000 0.0000 7.2846
ATOMIC_POSITIONS crystal
Cs 0.5000 0.2016 0.7016
Cs 0.5000 0.7016 0.7984
Cs 0.5000 0.7984 0.2984
Cs 0.5000 0.2984 0.2016
Sb 0.0000 0.0000 0.0000
Sb 0.0000 0.5000 0.5000
Si 0.0000 0.3908 0.8908
Si 0.0000 0.8908 0.6092
Si 0.0000 0.6092 0.1092
Si 0.0000 0.1092 0.3908

---

! CsSi2SnSb (meta-GGA SCAN, PBEsol geometry); values from VASP
! VASP energy = -125.26 eV for the cell shown
! total moment = 0.10 μB/atom
! E_form (uncorrected) = 1.153 eV per atom
&SYSTEM
  ibrav = 0, nat = 5, ntyp = 4
/
ATOMIC_SPECIES
Cs 132.91 Cs.upf
Sb 121.76 Sb.upf
Si 28.09 Si.upf
Sn 118.71 Sn.upf
CELL_PARAMETERS angstrom
-4.7152 -0.8104 2.0309
2.1565 -2.5226 4.0001
0.4351 5.3751 3.1551
ATOMIC_POSITIONS crystal
Cs 0.0000 0.0000 0.5000
Sb 0.5000 0.5000 0.5000
Si 0.0000 0.5000 0.0000
Si 0.5000 0.0000 0.0000
Sn 0.0000 0.0000 0.0000

---

! CsSnSb2Te (meta-GGA SCAN, PBEsol geometry); values from VASP
! VASP energy = -184.84 eV for the cell shown
! total moment = 0.24 μB/atom
! E_form (uncorrected) = 0.132 eV per atom
&SYSTEM
  ibrav = 0, nat = 5, ntyp = 4
/
ATOMIC_SPECIES
Cs 132.91 Cs.upf
Sb 121.76 Sb.upf
Te 127.60 Te.upf
Sn 118.71 Sn.upf
CELL_PARAMETERS angstrom
-1.2140 -2.5654 4.9422
3.2509 -4.4332 -1.5027
4.6644 2.5784 2.4842
ATOMIC_POSITIONS crystal
Cs 0.5000 0.5000 0.5000
Sb 0.0000 0.5000 0.0000
Sb 0.5000 0.0000 0.0000
Te 0.0000 0.0000 0.5000
Sn 0.0000 0.0000 0.0000

---

! CsSr2Sb2 (meta-GGA SCAN, PBEsol geometry); values from VASP
! VASP energy = -322.90 eV for the cell shown
! total moment = 0.00 μB/atom
! E_form (uncorrected) = -0.913 eV per atom
&SYSTEM
  ibrav = 0, nat = 10, ntyp = 3
/
ATOMIC_SPECIES
Cs 132.91 Cs.upf
Sb 121.76 Sb.upf
Sr 87.62 Sr.upf
CELL_PARAMETERS angstrom
3.7719 0.0000 0.0000
0.0000 9.6608 0.0000
0.0000 0.0000 9.6608
ATOMIC_POSITIONS crystal
Cs 0.0000 0.0000 0.0000
Cs 0.0000 0.5000 0.5000
Sb 0.5000 0.1644 0.6644
Sb 0.5000 0.6644 0.8356
Sb 0.5000 0.8356 0.3356
Sb 0.5000 0.3356 0.1644
Sr 0.0000 0.3686 0.8686
Sr 0.0000 0.8686 0.6314
Sr 0.0000 0.6314 0.1314
Sr 0.0000 0.1314 0.3686